No. 1
A relaxed FePdO3 crystal, computed with GGA+U.

Cell: 3.7847 3.7847 3.7847 Å, 90.00 90.00 90.00°
Space group Pm-3m (No. 221)
One atom of each set of equivalent atoms:
Fe: 0.0000 0.0000 0.0000 x1
Pd: 0.5000 0.5000 0.5000 x1
O: 0.0000 0.0000 0.5000 x3

Output
density = 6.4 g/cm³
M_tot = 0.40 μB/atom
total DFT energy (no corrections) = -5.374 eV per atom


No. 2
A relaxed FePdO3 crystal, computed with GGA+U.

Cell: 5.4973 3.0375 7.9697 Å, 90.00 110.14 90.00°
Space group P2_1/m (No. 11)
One atom of each set of equivalent atoms:
Fe: 0.0484 0.2500 0.3342 x2
Pd: 0.4923 0.2500 0.8290 x2
O: 0.1779 0.2500 0.6080 x2
O: 0.2363 0.7500 0.2876 x2
O: 0.2646 0.7500 0.9111 x2

Output
density = 5.6 g/cm³
M_tot = 0.80 μB/atom
total DFT energy (no corrections) = -5.867 eV per atom


No. 3
A relaxed FePd2O2 crystal, computed with GGA+U.

Cell: 5.6089 5.6089 4.1010 Å, 90.00 90.00 90.00°
Space group P4/mbm (No. 127)
One atom of each set of equivalent atoms:
Fe: 0.0000 0.0000 0.0000 x2
Pd: 0.1702 0.3298 0.5000 x4
O: 0.2022 0.2978 0.0000 x4

Output
density = 7.7 g/cm³
M_tot = 0.83 μB/atom
total DFT energy (no corrections) = -5.675 eV per atom


No. 4
A relaxed Fe3PdO crystal, computed with GGA+U.

Cell: 4.0706 4.0706 4.0706 Å, 90.00 90.00 90.00°
Space group Pm-3m (No. 221)
One atom of each set of equivalent atoms:
Fe: 0.0000 0.0000 0.5000 x3
Pd: 0.5000 0.5000 0.5000 x1
O: 0.0000 0.0000 0.0000 x1

Output
density = 7.1 g/cm³
M_tot = 2.24 μB/atom
total DFT energy (no corrections) = -5.295 eV per atom


No. 5
A relaxed Pm2FePdO6 crystal, computed with GGA+U.

Cell: 5.4663 5.9335 9.4132 Å, 90.00 124.88 90.00°
Space group P2_1/c (No. 14)
One atom of each set of equivalent atoms:
Pm: 0.2286 0.0771 0.2501 x4
Fe: 0.5000 0.0000 0.0000 x2
Pd: 0.0000 0.0000 0.5000 x2
O: 0.1512 0.1772 0.9467 x4
O: 0.2583 0.6985 0.9452 x4
O: 0.3635 0.0374 0.7511 x4

Output
density = 7.3 g/cm³
M_tot = 0.40 μB/atom
total DFT energy (no corrections) = -7.196 eV per atom


No. 6
A relaxed FePdPtO4 crystal, computed with GGA+U.

Cell: 5.9955 6.7289 9.0254 Å, 90.00 90.00 90.00°
Space group Imma (No. 74)
One atom of each set of equivalent atoms:
Fe: 0.0000 0.2500 0.2170 x4
Pd: 0.0000 0.0000 0.5000 x4
Pt: 0.2500 0.2500 0.7500 x4
O: 0.0000 0.0563 0.7244 x8
O: 0.2208 0.2500 0.3996 x8

Output
density = 7.7 g/cm³
M_tot = 0.57 μB/atom
total DFT energy (no corrections) = -5.830 eV per atom


No. 7
A relaxed FePd2PtO8 crystal, computed with GGA+U.

Cell: 6.3489 6.3489 7.0423 Å, 90.00 90.00 90.00°
Space group I-4m2 (No. 119)
One atom of each set of equivalent atoms:
Fe: 0.0000 0.0000 0.0000 x2
Pd: 0.0000 0.0000 0.5000 x2
Pd: 0.0000 0.5000 0.7500 x2
Pt: 0.0000 0.5000 0.2500 x2
O: 0.0000 0.1858 0.2717 x8
O: 0.0000 0.3140 0.9629 x8

Output
density = 6.9 g/cm³
M_tot = 0.28 μB/atom
total DFT energy (no corrections) = -5.253 eV per atom


No. 8
A relaxed PuFePdO6 crystal, computed with GGA+U.

Cell: 5.2240 5.2240 9.1220 Å, 90.00 90.00 120.00°
Space group P-31c (No. 163)
One atom of each set of equivalent atoms:
Pu: 0.3333 0.6667 0.2500 x2
Fe: 0.0000 0.0000 0.0000 x2
Pd: 0.3333 0.6667 0.7500 x2
O: 0.0000 0.3283 0.1249 x12

Output
density = 7.7 g/cm³
M_tot = 0.82 μB/atom
total DFT energy (no corrections) = -7.617 eV per atom


No. 9
A relaxed PuFe2PdO6 crystal, computed with GGA+U.

Cell: 10.5894 5.6309 5.0345 Å, 90.00 114.03 90.00°
Space group C2/m (No. 12)
One atom of each set of equivalent atoms:
Pu: 0.0000 0.0000 0.0000 x2
Fe: 0.2429 0.0000 0.6302 x4
Pd: 0.0000 0.5000 0.5000 x2
O: 0.1033 0.2624 0.3556 x8
O: 0.1626 0.0000 0.9324 x4

Output
density = 6.8 g/cm³
M_tot = 1.00 μB/atom
total DFT energy (no corrections) = -7.705 eV per atom


No. 10
A relaxed FeRe2PdO crystal, computed with GGA+U.

Cell: 4.7954 4.7954 4.8921 Å, 90.00 90.00 90.00°
Space group P4/mmm (No. 123)
One atom of each set of equivalent atoms:
Fe: 0.0000 0.0000 0.0000 x1
Re: 0.0000 0.5000 0.5000 x2
Pd: 0.0000 0.0000 0.5000 x1
O: 0.5000 0.5000 0.0000 x1

Output
density = 8.1 g/cm³
M_tot = 1.97 μB/atom
total DFT energy (no corrections) = -5.590 eV per atom


No. 11
A relaxed FePd2RuO6 crystal, computed with GGA+U.

Cell: 10.1225 9.3331 4.9834 Å, 90.00 90.60 90.00°
Space group C2/c (No. 15)
One atom of each set of equivalent atoms:
Fe: 0.0000 0.0931 0.2500 x4
Pd: 0.2496 0.1548 0.7624 x8
Ru: 0.0000 0.4011 0.7500 x4
O: 0.1050 0.2547 0.9834 x8
O: 0.1060 0.4429 0.4346 x8
O: 0.1131 0.0532 0.5542 x8

Output
density = 6.6 g/cm³
M_tot = 0.59 μB/atom
total DFT energy (no corrections) = -6.178 eV per atom


No. 12
A relaxed FeSbPdO6 crystal, computed with GGA+U.

Cell: 5.1548 5.1548 8.8398 Å, 90.00 90.00 120.00°
Space group P-31c (No. 163)
One atom of each set of equivalent atoms:
Fe: 0.0000 0.0000 0.0000 x2
Sb: 0.3333 0.6667 0.2500 x2
Pd: 0.3333 0.6667 0.7500 x2
O: 0.0017 0.3403 0.1269 x12

Output
density = 6.2 g/cm³
M_tot = 0.56 μB/atom
total DFT energy (no corrections) = -5.980 eV per atom